# 1
DFT (GGA-PBE) results for an optimized crystal structure of Ti2Nb2Al.

SG ... P4/mbm
Final energy ... -7.86 eV per atom
Total magnetization ... 0.00 Bohr magnetons per cell
Energy of formation from the pure elements ... 7.40 kJ per mole of atoms

abc: 7.069 7.069 3.628
angles: 90.00 90.00 90.00
Sites, in units of the cell vectors:
Ti 0.834 0.334 0.500
Ti 0.334 0.166 0.500
Ti 0.666 0.834 0.500
Nb 0.638 0.138 0.000
Nb 0.138 0.362 0.000
Al 0.500 0.500 0.000
Nb 0.862 0.638 0.000
Al 0.000 0.000 0.000
Nb 0.362 0.862 0.000
Ti 0.166 0.666 0.500

***

# 2
DFT (GGA-PBE) results for an optimized crystal structure of Zn2InSbO6.

SG ... C2/c
Final energy ... -5.33 eV per atom
Formation energy without anion corrections ... -1413.5 meV/atom
Total magnetization ... 0.00 Bohr magnetons per cell

abc: 5.963 7.191 7.191
angles: 79.17 73.39 73.39
Sites, in units of the cell vectors:
O 0.712 0.733 0.551
O 0.212 0.551 0.733
In 0.250 0.902 0.098
O 0.178 0.984 0.804
Zn 0.148 0.369 0.227
O 0.607 0.165 0.656
Sb 0.250 0.266 0.734
O 0.822 0.016 0.196
Zn 0.648 0.227 0.369
In 0.750 0.098 0.902
Zn 0.352 0.773 0.631
Zn 0.852 0.631 0.773
Sb 0.750 0.734 0.266
O 0.393 0.835 0.344
O 0.893 0.344 0.835
O 0.288 0.267 0.449
O 0.107 0.656 0.165
O 0.788 0.449 0.267
O 0.322 0.196 0.016
O 0.678 0.804 0.984

***

# 3
DFT (GGA-PBE) results for an optimized crystal structure of Pu2HgPd3.

SG ... Cmcm
Final energy ... -7.72 eV per atom
Total magnetization ... 22.96 Bohr magnetons per cell
Energy of formation from the pure elements ... -28.69 kJ per mole of atoms

abc: 5.578 6.667 6.667
angles: 78.13 90.00 90.00
Last column: magnetic moment on the atom in μB.
Sites, in units of the cell vectors:
Pd 0.750 0.677 0.677  -0.02
Pu 0.250 0.587 0.927  5.50
Pu 0.250 0.927 0.587  5.50
Hg 0.750 0.943 0.943  0.00
Hg 0.250 0.057 0.057  0.00
Pd 0.250 0.323 0.323  -0.02
Pd 0.000 0.685 0.315  0.02
Pd 0.500 0.685 0.315  0.02
Pu 0.750 0.073 0.413  5.50
Pu 0.750 0.413 0.073  5.50
Pd 0.000 0.315 0.685  0.02
Pd 0.500 0.315 0.685  0.02

***

# 4
DFT (GGA-PBE) results for an optimized crystal structure of SrAg2Sb.

SG ... I-42d
Final energy ... -3.10 eV per atom
Formation energy without anion corrections ... -222.4 meV/atom
Total magnetization ... 0.00 Bohr magnetons per cell

abc: 5.006 5.006 10.405
angles: 76.08 76.08 90.00
Sites, in units of the cell vectors:
Sb 0.750 0.250 0.500
Ag 0.760 0.125 0.250
Sr 0.500 0.500 0.000
Sr 0.250 0.750 0.500
Ag 0.990 0.625 0.250
Ag 0.875 0.010 0.750
Ag 0.375 0.240 0.750
Sb 0.000 0.000 0.000

***

# 5
DFT (GGA-PBE) results for an optimized crystal structure of BaNaTa.

SG ... Cm
Final energy ... -4.26 eV per atom
Total magnetization ... 0.00 Bohr magnetons per cell
Energy of formation from the pure elements ... 74.12 kJ per mole of atoms

abc: 15.131 7.039 7.039
angles: 142.24 145.87 34.13
Sites, in units of the cell vectors:
Ba 0.783 0.230 0.770
Ta 0.575 0.195 0.805
Na 0.340 0.799 0.201
Ta 0.714 0.577 0.423
Ba 0.291 0.114 0.886
Na 0.019 0.700 0.300

***

# 6
DFT (GGA-PBE) results for an optimized crystal structure of K2ScIr.

SG ... F-43m
Final energy ... -3.75 eV per atom
Total magnetization ... 0.00 Bohr magnetons per cell
Energy of formation from the pure elements ... 57.41 kJ per mole of atoms

abc: 5.205 5.205 5.205
angles: 60.00 60.00 60.00
Sites, in units of the cell vectors:
Ir 0.500 0.500 0.500
K 0.250 0.250 0.250
K 0.000 0.000 0.000
Sc 0.750 0.750 0.750

***

# 7
DFT (GGA-PBE) results for an optimized crystal structure of Tm4CdPt5.

SG ... P4/mmm
Final energy ... -6.02 eV per atom
Total magnetization ... 0.00 Bohr magnetons per cell
Energy of formation from the pure elements ... -108.43 kJ per mole of atoms

abc: 3.458 3.458 16.684
angles: 90.00 90.00 90.00
Sites, in units of the cell vectors:
Pt 0.500 0.500 0.500
Tm 0.000 0.000 0.189
Pt 0.500 0.500 0.293
Pt 0.500 0.500 0.707
Cd 0.000 0.000 0.000
Pt 0.500 0.500 0.095
Tm 0.000 0.000 0.397
Tm 0.000 0.000 0.603
Tm 0.000 0.000 0.811
Pt 0.500 0.500 0.905

***

# 8
DFT (GGA-PBE) results for an optimized crystal structure of Hg2SbF5.

SG ... P1
Final energy ... -3.53 eV per atom
Formation energy without anion corrections ... -1773.3 meV/atom
Total magnetization ... 0.00 Bohr magnetons per cell

abc: 7.630 5.805 7.741
angles: 135.89 126.49 42.43
Sites, in units of the cell vectors:
F 0.766 0.846 0.588
Hg 0.354 0.616 0.635
F 0.249 0.014 0.228
Sb 0.038 0.904 0.890
F 0.787 0.104 0.045
F 0.824 0.469 0.995
Hg 0.571 0.435 0.355
F 0.187 0.388 0.819